No. 1
Compound: ZnTcPt2
Source: Alexandria
Functional: PBEsol
Structure: relaxed

Values from the calculation:
The calculated formation energy comes out at -58 kJ/mol of formula units. The calculation puts the density of states at the Fermi level at 2.4 states/eV/f.u. The density is 16.0 g cm⁻³. The symmetry is Pmm2.

Cell and atoms, written as extended XYZ:
```
4
Lattice="2.724 0.000 0.000 0.000 3.791 0.000 0.000 0.000 5.564" Properties=species:S:1:pos:R:3 pbc="T T T"
Tc 0.000 0.000 2.698
Zn 1.362 1.896 4.235
Pt 0.000 0.000 5.460
Pt 1.362 1.896 1.518
```

***

No. 2
Compound: ZnTc2Pt
Source: Alexandria
Functional: PBEsol
Structure: relaxed

Values from the calculation:
The calculated formation energy comes out at -1 kJ/mol of formula units. The calculation puts the density of states at the Fermi level at 2.4 states/eV/f.u. The density is 13.5 g cm⁻³. The symmetry is P4/mmm.

Cell and atoms, written as extended XYZ:
```
4
Lattice="-1.974 2.145 -2.136 1.075 -1.887 -2.888 -3.365 -2.633 0.467" Properties=species:S:1:pos:R:3 pbc="T T T"
Tc 0.538 -0.943 -1.444
Tc -0.987 1.072 -1.068
Pt -1.683 -1.316 0.233
Zn -2.132 -1.188 -2.279
```

***

No. 3
Compound: ZnTc2Pt
Source: Alexandria
Functional: PBEsol
Structure: relaxed

Values from the calculation:
The calculated formation energy comes out at -11 kJ/mol of formula units. The calculation puts the density of states at the Fermi level at 3.4 states/eV/f.u. The density is 13.6 g cm⁻³. The symmetry is I-4m2.

Cell and atoms, written as extended XYZ:
```
4
Lattice="-2.530 1.480 -2.429 -1.746 -3.382 -0.242 -0.135 1.913 4.289" Properties=species:S:1:pos:R:3 pbc="T T T"
Zn -2.273 0.962 2.953
Pt -2.010 -1.210 1.355
Tc -2.401 1.221 0.261
Tc -0.001 0.000 0.001
```

***

No. 4
Compound: ZnTc2Pt
Source: Alexandria
Functional: PBEsol
Structure: relaxed

Values from the calculation:
The calculated formation energy comes out at -39 kJ/mol of formula units. The calculation puts the density of states at the Fermi level at 3.2 states/eV/f.u. The density is 13.5 g cm⁻³. The symmetry is Pmm2.

Cell and atoms, written as extended XYZ:
```
4
Lattice="2.717 0.000 0.000 0.000 3.816 0.000 0.000 0.000 5.418" Properties=species:S:1:pos:R:3 pbc="T T T"
Pt 1.358 1.908 3.980
Zn 0.000 0.000 2.745
Tc 1.358 1.908 1.284
Tc 0.000 0.000 0.119
```

***

No. 5
Compound: ZnTcPt2
Source: Alexandria
Functional: PBEsol
Structure: relaxed

Values from the calculation:
The calculated formation energy comes out at -127 kJ/mol of formula units. The calculation puts the density of states at the Fermi level at 2.7 states/eV/f.u. The density is 16.2 g cm⁻³. The symmetry is P4/mmm.

Cell and atoms, written as extended XYZ:
```
4
Lattice="2.718 0.000 0.000 0.000 2.718 0.000 0.000 0.000 7.676" Properties=species:S:1:pos:R:3 pbc="T T T"
Pt 0.000 0.000 5.768
Pt 0.000 0.000 1.909
Tc 1.359 1.359 0.000
Zn 1.359 1.359 3.838
```

***

No. 6
Compound: ZrTc2Pt
Source: Alexandria
Functional: PBEsol
Structure: relaxed

Values from the calculation:
The calculation puts the excess energy over the best structure of this formula in the dataset at 128 meV per atom. The calculated formation energy comes out at -58 kJ/mol of formula units. The calculation puts the density of states at the Fermi level at 4.8 states/eV/f.u. The density is 12.7 g cm⁻³. The symmetry is C2/m.

Cell and atoms, written as extended XYZ:
```
4
Lattice="-2.675 0.582 0.707 -1.242 -0.032 -4.677 0.626 -4.789 0.658" Properties=species:S:1:pos:R:3 pbc="T T T"
Tc -2.585 -1.880 -2.584
Tc -0.706 -2.360 -0.729
Pt -0.621 -0.016 -2.339
Zr -1.338 0.291 0.353
```

***

No. 7
Compound: ZrTcPt2
Source: Alexandria
Functional: PBEsol
Structure: relaxed

Values from the calculation:
The calculation puts the excess energy over the best structure of this formula in the dataset at 376 meV per atom. The calculated formation energy comes out at -97 kJ/mol of formula units. The calculation puts the density of states at the Fermi level at 5.6 states/eV/f.u. The density is 14.6 g cm⁻³. The symmetry is Fm-3m.

Cell and atoms, written as extended XYZ:
```
4
Lattice="-0.983 4.267 -1.175 -4.209 1.591 0.553 -0.851 3.094 3.202" Properties=species:S:1:pos:R:3 pbc="T T T"
Pt -4.532 6.714 1.936
Pt -1.511 2.238 0.645
Tc 0.000 0.000 0.000
Zr -3.021 4.476 1.290
```

***

No. 8
Compound: ZrTcPt2
Source: Alexandria
Functional: PBEsol
Structure: relaxed

Values from the calculation:
The calculation puts the excess energy over the best structure of this formula in the dataset at 518 meV per atom. The calculated formation energy comes out at -42 kJ/mol of formula units. The calculation puts the density of states at the Fermi level at 3.9 states/eV/f.u. The density is 15.1 g cm⁻³. The symmetry is R3m.

Cell and atoms, written as extended XYZ:
```
4
Lattice="2.803 0.000 0.000 1.401 2.427 0.000 1.401 0.809 9.374" Properties=species:S:1:pos:R:3 pbc="T T T"
Pt 4.204 2.427 6.965
Pt 1.401 0.809 9.322
Zr 1.401 0.809 2.305
Tc 2.803 1.618 4.842
```

***

No. 9
Compound: ZrTcPt2
Source: Alexandria
Functional: PBEsol
Structure: relaxed

Values from the calculation:
The calculation puts the excess energy over the best structure of this formula in the dataset at 0 meV per atom. The calculated formation energy comes out at -242 kJ/mol of formula units. The calculation puts the density of states at the Fermi level at 3.4 states/eV/f.u. The density is 15.3 g cm⁻³. The symmetry is I4/mmm.

Cell and atoms, written as extended XYZ:
```
4
Lattice="3.917 0.000 0.000 0.000 3.917 0.000 -1.959 -1.959 4.087" Properties=species:S:1:pos:R:3 pbc="T T T"
Zr 0.000 0.000 0.000
Pt 0.000 1.959 2.044
Pt 1.959 0.000 2.044
Tc 1.959 1.959 0.000
```

***

No. 10
Compound: ZrTc2Pt
Source: Alexandria
Functional: PBEsol
Structure: relaxed

Values from the calculation:
The calculation puts the excess energy over the best structure of this formula in the dataset at 0 meV per atom. The calculated formation energy comes out at -107 kJ/mol of formula units. The calculation puts the density of states at the Fermi level at 2.9 states/eV/f.u. The density is 12.7 g cm⁻³. The symmetry is Pm.

Cell and atoms, written as extended XYZ:
```
4
Lattice="-2.383 1.440 0.208 -0.342 0.075 -4.427 -1.839 -4.850 0.060" Properties=species:S:1:pos:R:3 pbc="T T T"
Tc -0.331 -0.085 0.024
Tc -2.362 0.225 -2.041
Zr -2.241 -1.795 0.143
Pt -1.740 -3.385 -2.150
```

***

No. 11
Compound: Te2Pt
Source: Alexandria
Functional: PBEsol
Structure: relaxed

Values from the calculation:
Its uncorrected formation energy is -0.414 eV/atom. The calculation puts the density of states at the Fermi level at 1.3 states/eV/f.u. The density is 10.3 g cm⁻³. The symmetry is P-3m1.

Cell and atoms, written as extended XYZ:
```
3
Lattice="4.042 0.000 0.000 -2.021 3.500 0.000 0.000 0.000 5.134" Properties=species:S:1:pos:R:3 pbc="T T T"
Te 2.021 1.167 1.220
Te 0.000 2.334 3.914
Pt 0.000 0.000 2.567
```

***

No. 12
Compound: TePt2
Source: Alexandria
Functional: PBEsol
Structure: relaxed

Values from the calculation:
The calculation puts the excess energy over the best structure of this formula in the dataset at 0 meV per atom. Its uncorrected formation energy is -0.159 eV/atom. The calculation puts the density of states at the Fermi level at 1.5 states/eV/f.u. The density is 15.0 g cm⁻³. The symmetry is P6_3/mmc.

Cell and atoms, written as extended XYZ:
```
6
Lattice="-2.999 2.468 0.462 -0.666 -3.718 -1.015 -0.514 -2.190 8.364" Properties=species:S:1:pos:R:3 pbc="T T T"
Pt -1.914 -3.661 7.132
Pt -2.265 0.220 0.679
Pt -2.435 -0.504 3.442
Pt -1.744 -2.937 4.369
Te -0.386 -1.643 6.273
Te -0.129 -0.548 2.091
```

***

No. 13
Compound: TePt2
Source: Alexandria
Functional: PBEsol
Structure: relaxed

Values from the calculation:
The calculation puts the excess energy over the best structure of this formula in the dataset at 31 meV per atom. Its uncorrected formation energy is -0.128 eV/atom. The calculation puts the density of states at the Fermi level at 1.6 states/eV/f.u. The density is 15.6 g cm⁻³. The symmetry is C2/m.

Cell and atoms, written as extended XYZ:
```
6
Lattice="3.751 0.000 0.000 0.000 5.407 -0.039 -1.876 -1.772 5.457" Properties=species:S:1:pos:R:3 pbc="T T T"
Pt 1.876 0.497 1.395
Pt 0.000 4.031 0.303
Pt 1.876 -0.396 5.115
Pt 0.000 3.138 4.023
Te 1.876 3.085 1.962
Te 0.000 0.550 3.456
```

***

No. 14
Compound: TePt2
Source: Alexandria
Functional: PBEsol
Structure: relaxed

Values from the calculation:
The calculation puts the excess energy over the best structure of this formula in the dataset at 383 meV per atom. Its uncorrected formation energy is 0.224 eV/atom. The calculation puts the density of states at the Fermi level at 3.2 states/eV/f.u. The density is 15.7 g cm⁻³. The symmetry is Fd-3m.

Cell and atoms, written as extended XYZ:
```
6
Lattice="-2.165 -2.334 -4.330 2.260 -4.405 -2.091 -2.458 -4.757 0.458" Properties=species:S:1:pos:R:3 pbc="T T T"
Pt 0.835 -3.639 -1.791
Pt -1.524 -3.815 -0.517
Pt -1.378 -2.604 -2.910
Pt -0.295 -1.437 -0.745
Te -1.181 -5.748 -2.982
Te -1.772 -8.621 -4.472
```